First-principles (PBE) data for a relaxed structure of BeSi2Mo, as listed in Alexandria via LeMat-Bulk.

a b c (Å): 3.5339 3.5339 7.9597
angles (deg): 90.00 90.00 90.00
Last column: nearest neighbours and their distance in Å.
Space group I4/mmm (No. 139)
Unique sites:
Be (0.0000, 0.0000, 0.0000) [2 per cell]  4 Mo 2.50, 8 Si 2.66
Si (0.0000, 0.5000, 0.2500) [4 per cell]  4 Si 2.50, 4 Mo 2.66, 4 Be 2.66
Mo (0.0000, 0.0000, 0.5000) [2 per cell]  4 Be 2.50, 8 Si 2.66

Properties
Energy relative to the lowest polymorph listed for this composition ... 0.139 eV per atom
E_form (uncorrected) ... -41 meV/atom

***

First-principles (PBE) data for a relaxed structure of BeSiMo2, as listed in Alexandria via LeMat-Bulk.

a b c (Å): 9.1090 2.7097 4.4361
angles (deg): 90.00 104.54 90.00
Last column: nearest neighbours and their distance in Å.
Space group Cm (No. 8)
Unique sites:
Be (0.0000, 0.0000, 0.0000) [2 per cell]  2 Si 2.42, 7 Mo 2.58-2.63
Si (0.2931, 0.0000, 0.7088) [2 per cell]  2 Be 2.42, 7 Mo 2.54-2.69
Mo (0.0349, 0.5000, 0.5207) [2 per cell]  3 Si 2.54-2.66, 4 Be 2.61-2.63, 3 Mo 2.71-2.78
Mo (0.2482, 0.5000, 0.1702) [2 per cell]  4 Si 2.57-2.69, 3 Be 2.58-2.59, 3 Mo 2.71-2.78

Properties
Energy relative to the lowest polymorph listed for this composition ... 0.232 eV per atom
E_form (uncorrected) ... -54 meV/atom

***

First-principles (PBE) data for a relaxed structure of BeSiMo2, as listed in Alexandria via LeMat-Bulk.

a b c (Å): 3.7089 3.7089 7.8415
angles (deg): 90.00 90.00 90.00
Last column: nearest neighbours and their distance in Å.
Space group I-4m2 (No. 119)
Unique sites:
Be (0.0000, 0.0000, 0.0000) [2 per cell]  8 Mo 2.62-2.70, 4 Si 2.70
Si (0.0000, 0.5000, 0.2500) [2 per cell]  8 Mo 2.62-2.70, 4 Be 2.70
Mo (0.0000, 0.0000, 0.5000) [2 per cell]  4 Be 2.62, 4 Mo 2.70, 4 Si 2.70
Mo (0.0000, 0.5000, 0.7500) [2 per cell]  4 Si 2.62, 4 Mo 2.70, 4 Be 2.70

Properties
Energy relative to the lowest polymorph listed for this composition ... 0.256 eV per atom
E_form (uncorrected) ... -30 meV/atom

***

First-principles (PBE) data for a relaxed structure of Be3SiMo2, as listed in Alexandria via LeMat-Bulk.

a b c (Å): 4.4997 4.4997 11.3356
angles (deg): 90.00 90.00 120.00
Last column: nearest neighbours and their distance in Å.
Space group R-3m (No. 166, hexagonal axes)
Unique sites:
Be (0.0000, 0.5000, 0.0000) [9 per cell]  4 Be 2.25, 2 Si 2.29
Si (0.0000, 0.0000, 0.5000) [3 per cell]  6 Be 2.29
Mo (0.0000, 0.0000, 0.1238) [6 per cell]  3 Si 2.64, 9 Be 2.65-2.71, 4 Mo 2.77-2.81

Properties
E_form (uncorrected) ... -375 meV/atom

***

First-principles (PBE) data for a relaxed structure of BeSi2Mo, as listed in Alexandria via LeMat-Bulk.

a b c (Å): 3.3955 4.1512 7.5200
angles (deg): 90.00 90.00 90.00
Last column: nearest neighbours and their distance in Å.
Space group Cmm2 (No. 35)
Unique sites:
Be (0.0000, 0.0000, 0.0000) [2 per cell]  2 Si 2.35, 2 Mo 2.47
Si (0.0000, 0.0000, 0.4975) [2 per cell]  4 Mo 2.62-2.88, 6 Si 2.68-2.71
Si (0.0000, 0.5000, 0.2157) [2 per cell]  2 Be 2.35
Mo (0.0000, 0.5000, 0.7622) [2 per cell]  4 Be 2.47-2.74, 2 Si 2.62, 4 Mo 2.68

Properties
Energy relative to the lowest polymorph listed for this composition ... 0.415 eV per atom
E_form (uncorrected) ... 235 meV/atom

***

First-principles (PBE) data for a relaxed structure of Be2SiMo, as listed in Alexandria via LeMat-Bulk.

a b c (Å): 2.5554 2.5554 7.5043
angles (deg): 90.00 90.00 90.00
Last column: nearest neighbours and their distance in Å.
Space group P4/mmm (No. 123)
Unique sites:
Be (0.0000, 0.0000, 0.2491) [2 per cell]  4 Be 2.56, 4 Mo 2.60, 4 Si 2.61
Si (0.5000, 0.5000, 0.5000) [1 per cell]  4 Si 2.56, 8 Be 2.61
Mo (0.5000, 0.5000, 0.0000) [1 per cell]  4 Mo 2.56, 8 Be 2.60

Properties
Energy relative to the lowest polymorph listed for this composition ... 0.631 eV per atom
E_form (uncorrected) ... 284 meV/atom

***

First-principles (PBE) data for a relaxed structure of BeSi2Mo, as listed in Alexandria via LeMat-Bulk.

a b c (Å): 4.3898 2.7669 4.6783
angles (deg): 90.00 112.78 90.00
Last column: nearest neighbours and their distance in Å.
Space group P2/m (No. 10)
Unique sites:
Be (0.0000, 0.0000, 0.0000) [1 per cell]  6 Si 2.51-2.59, 4 Mo 2.72, 2 Be 2.77
Si (0.5000, 0.0000, 0.5000) [1 per cell]  2 Be 2.51, 4 Mo 2.59, 6 Si 2.72-2.77
Si (0.5000, 0.5000, 0.0000) [1 per cell]  2 Mo 2.51, 4 Be 2.59, 6 Si 2.72-2.77
Mo (0.0000, 0.5000, 0.5000) [1 per cell]  6 Si 2.51-2.59, 4 Be 2.72, 2 Mo 2.77

Properties
Energy relative to the lowest polymorph listed for this composition ... 0.285 eV per atom
E_form (uncorrected) ... 105 meV/atom

***

First-principles (PBE) data for a relaxed structure of BeSi2Mo, as listed in Alexandria via LeMat-Bulk.

a b c (Å): 2.6510 2.6510 7.4483
angles (deg): 90.00 90.00 90.00
Last column: nearest neighbours and their distance in Å.
Space group P4mm (No. 99)
Unique sites:
Be (0.0000, 0.0000, 0.0000) [1 per cell]  4 Si 2.45, 4 Mo 2.60, 4 Be 2.65
Si (0.0000, 0.0000, 0.5121) [1 per cell]  8 Si 2.65-2.78, 4 Mo 2.76
Si (0.5000, 0.5000, 0.7886) [1 per cell]  4 Be 2.45, 4 Si 2.65
Mo (0.5000, 0.5000, 0.2409) [1 per cell]  4 Be 2.60, 4 Mo 2.65, 4 Si 2.76

Properties
Energy relative to the lowest polymorph listed for this composition ... 0.427 eV per atom
E_form (uncorrected) ... 247 meV/atom

***

First-principles (PBE) data for a relaxed structure of Be2SiMo, as listed in Alexandria via LeMat-Bulk.

a b c (Å): 3.3938 3.3938 7.7764
angles (deg): 90.00 90.00 90.00
Last column: nearest neighbours and their distance in Å.
Space group I-4m2 (No. 119)
Unique sites:
Be (0.0000, 0.0000, 0.0000) [2 per cell]  4 Si 2.40, 4 Mo 2.58, 4 Be 2.58
Be (0.0000, 0.5000, 0.2500) [2 per cell]  4 Mo 2.40, 4 Be 2.58, 4 Si 2.58
Si (0.0000, 0.0000, 0.5000) [2 per cell]  8 Be 2.40-2.58, 4 Mo 2.58
Mo (0.0000, 0.5000, 0.7500) [2 per cell]  8 Be 2.40-2.58, 4 Si 2.58

Properties
Energy relative to the lowest polymorph listed for this composition ... 0.000 eV per atom
E_form (uncorrected) ... -347 meV/atom

***

First-principles (PBE) data for a relaxed structure of BeSiMo2, as listed in Alexandria via LeMat-Bulk.

a b c (Å): 5.3167 6.2521 3.1957
angles (deg): 90.00 90.00 90.00
Last column: nearest neighbours and their distance in Å.
Space group Cmmm (No. 65)
Unique sites:
Be (0.0000, 0.0000, 0.0000) [2 per cell]  8 Mo 2.60, 2 Si 2.66
Si (0.0000, 0.5000, 0.0000) [2 per cell]  8 Mo 2.60, 2 Be 2.66
Mo (0.2500, 0.2500, 0.5000) [4 per cell]  4 Be 2.60, 4 Si 2.60, 2 Mo 2.66

Properties
Energy relative to the lowest polymorph listed for this composition ... 0.283 eV per atom
E_form (uncorrected) ... -3 meV/atom

***

First-principles (PBE) data for a relaxed structure of Be2SiMo, as listed in Alexandria via LeMat-Bulk.

a b c (Å): 2.7190 2.7190 23.3705
angles (deg): 90.00 90.00 120.00
Last column: nearest neighbours and their distance in Å.
Space group R3m (No. 160, hexagonal axes)
Unique sites:
Be (0.0000, 0.0000, 0.0000) [3 per cell]  3 Be 2.33, 3 Mo 2.58
Be (0.0000, 0.0000, 0.2599) [3 per cell]  3 Be 2.33, 3 Si 2.44
Si (0.0000, 0.0000, 0.5131) [3 per cell]  3 Be 2.44, 3 Mo 2.66, 6 Si 2.72
Mo (0.0000, 0.0000, 0.7545) [3 per cell]  3 Be 2.58, 3 Si 2.66, 6 Mo 2.72

Properties
Energy relative to the lowest polymorph listed for this composition ... 0.675 eV per atom
E_form (uncorrected) ... 328 meV/atom

***

First-principles (PBE) data for a relaxed structure of BeSi2Mo, as listed in Alexandria via LeMat-Bulk.

a b c (Å): 2.8533 2.8533 22.9226
angles (deg): 90.00 90.00 120.00
Last column: nearest neighbours and their distance in Å.
Space group R-3m (No. 166, hexagonal axes)
Unique sites:
Be (0.0000, 0.0000, 0.0000) [3 per cell]  6 Si 2.44
Si (0.0000, 0.0000, 0.2551) [6 per cell]  3 Be 2.44, 3 Mo 2.61
Mo (0.0000, 0.0000, 0.5000) [3 per cell]  6 Si 2.61, 6 Mo 2.85

Properties
Energy relative to the lowest polymorph listed for this composition ... 0.331 eV per atom
E_form (uncorrected) ... 151 meV/atom

***

First-principles (PBE) data for a relaxed structure of Be2SiMo, as listed in Alexandria via LeMat-Bulk.

a b c (Å): 3.6026 3.6026 3.4716
angles (deg): 90.00 90.00 90.00
Last column: nearest neighbours and their distance in Å.
Space group P4/mmm (No. 123)
Unique sites:
Be (0.0000, 0.5000, 0.0000) [2 per cell]  4 Mo 2.50, 4 Si 2.50, 4 Be 2.55
Si (0.0000, 0.0000, 0.5000) [1 per cell]  8 Be 2.50, 4 Mo 2.55
Mo (0.5000, 0.5000, 0.5000) [1 per cell]  8 Be 2.50, 4 Si 2.55

Properties
Energy relative to the lowest polymorph listed for this composition ... 0.233 eV per atom
E_form (uncorrected) ... -114 meV/atom

***

First-principles (PBE) data for a relaxed structure of Be2SiMo, as listed in Alexandria via LeMat-Bulk.

a b c (Å): 3.4271 3.4271 7.8404
angles (deg): 90.00 90.00 90.00
Last column: nearest neighbours and their distance in Å.
Space group I4/mmm (No. 139)
Unique sites:
Be (0.0000, 0.5000, 0.2500) [4 per cell]  4 Be 2.42, 4 Mo 2.60, 4 Si 2.60
Si (0.0000, 0.0000, 0.0000) [2 per cell]  4 Mo 2.42, 8 Be 2.60
Mo (0.0000, 0.0000, 0.5000) [2 per cell]  4 Si 2.42, 8 Be 2.60

Properties
Energy relative to the lowest polymorph listed for this composition ... 0.221 eV per atom
E_form (uncorrected) ... -126 meV/atom

***

First-principles (PBE) data for a relaxed structure of BeSi3Mo, as listed in Alexandria via LeMat-Bulk.

a b c (Å): 4.2225 4.2225 4.2225
angles (deg): 90.00 90.00 90.00
Last column: nearest neighbours and their distance in Å.
Space group Pm-3m (No. 221)
Unique sites:
Be (0.0000, 0.0000, 0.0000) [1 per cell]  6 Si 2.11
Si (0.0000, 0.0000, 0.5000) [3 per cell]  2 Be 2.11
Mo (0.5000, 0.5000, 0.5000) [1 per cell]  12 Si 2.99

Properties
Energy relative to the lowest polymorph listed for this composition ... 0.061 eV per atom
E_form (uncorrected) ... 1003 meV/atom

***

no.,volume (Å³/atom),electronic total energy (eV/atom),spin magnetization (μB/atom)
1,12.4,-6.391,0.000
2,13.2,-7.757,0.000
3,13.5,-7.733,0.000
4,11.0,-6.752,0.000
5,13.2,-6.116,0.000
6,12.3,-5.643,0.000
7,13.1,-6.245,0.000
8,13.1,-6.104,0.000
9,11.2,-6.273,0.000
10,13.3,-7.705,0.000
11,12.5,-5.598,0.000
12,13.5,-6.200,0.053
13,11.3,-6.041,0.000
14,11.5,-6.053,0.000
15,15.1,-5.162,0.473